Record 1
A crystal of Ba3Au relaxed with PBEsol, computed with meta-GGA SCAN.

Cell and atoms, written as POSCAR:
```
Ba3Au
1.0
2.306 1.331 11.046
-2.306 1.331 11.046
0.000 -2.662 11.046
Ba Au
3 1
Direct
0.000 0.000 0.000
0.220 0.220 0.220
0.780 0.780 0.780
0.500 0.500 0.500
```

Summary:
Calculated formation energy = -1.8 eV/f.u.



Record 2
A crystal of TlPOs2 relaxed with PBEsol, computed with meta-GGA SCAN.

Cell and atoms, written as POSCAR:
```
TlPOs2
1.0
4.402 0.000 0.000
0.000 4.402 0.000
0.000 0.000 3.140
Tl P Os
1 1 2
Direct
0.000 0.000 0.000
0.500 0.500 0.000
0.000 0.500 0.500
0.500 0.000 0.500
```

Summary:
Calculated formation energy = 4.2 eV/f.u.
Energy above the most stable polymorph in this dataset = 353 meV/atom



Record 3
A crystal of BaLiMg2 relaxed with PBEsol, computed with meta-GGA SCAN.

Cell and atoms, written as POSCAR:
```
BaLiMg2
1.0
1.755 1.013 10.751
-1.755 1.013 10.751
0.000 -2.026 10.751
Ba Li Mg
1 1 2
Direct
0.000 0.000 0.000
0.500 0.500 0.500
0.238 0.238 0.238
0.762 0.762 0.762
```

Summary:
Calculated formation energy = 0.7 eV/f.u.
Energy above the most stable polymorph in this dataset = 179 meV/atom



Record 4
A crystal of Y2CuTe relaxed with PBEsol, computed with meta-GGA SCAN.

Cell and atoms, written as POSCAR:
```
Y2CuTe
1.0
4.160 0.000 0.000
0.000 4.160 0.000
0.000 0.000 5.940
Y Cu Te
2 1 1
Direct
0.000 0.000 0.000
0.500 0.500 0.499
0.000 0.000 0.500
0.500 0.500 0.998
```

Summary:
Uncorrected formation energy = -16.34 kcal/mol of atoms



Record 5
A crystal of ZrSnNF2 relaxed with PBEsol, computed with meta-GGA SCAN.

Cell and atoms, written as POSCAR:
```
ZrSnNF2
1.0
4.250 0.000 0.000
0.000 4.250 0.000
0.000 0.000 4.234
Zr Sn N F
1 1 1 2
Direct
0.000 0.000 0.000
0.500 0.500 0.500
0.000 0.000 0.500
0.000 0.500 0.000
0.500 0.000 0.000
```

Summary:
Uncorrected formation energy = -40.46 kcal/mol of atoms



Record 6
A crystal of CrInCl2 relaxed with PBEsol, computed with meta-GGA SCAN.

Cell and atoms, written as POSCAR:
```
CrInCl2
1.0
1.704 -3.022 0.000
1.704 3.022 0.000
0.000 0.000 9.101
Cr In Cl
1 1 2
Direct
0.000 0.000 0.000
0.000 0.000 0.500
0.500 0.500 0.180
0.500 0.500 0.820
```

Summary:
Uncorrected formation energy = -18.52 kcal/mol of atoms
Energy above the most stable polymorph in this dataset = 0 meV/atom



Record 7
A crystal of Re2WSe relaxed with PBEsol, computed with meta-GGA SCAN.

Cell and atoms, written as POSCAR:
```
Re2WSe
1.0
1.527 -2.289 0.000
1.527 2.289 0.000
0.000 0.000 8.992
Re W Se
2 1 1
Direct
0.000 0.000 0.238
0.000 0.000 0.762
0.500 0.500 0.000
0.500 0.500 0.500
```

Summary:
Uncorrected formation energy = 14.70 kcal/mol of atoms



Record 8
A crystal of Er3Cu4Si4 relaxed with PBEsol, computed with meta-GGA SCAN.

Cell and atoms, written as POSCAR:
```
Er3Cu4Si4
1.0
-2.028 3.215 6.708
2.028 -3.215 6.708
2.028 3.215 -6.708
Er Cu Si
3 4 4
Direct
0.000 0.000 0.000
0.371 0.871 0.500
0.629 0.129 0.500
0.022 0.331 0.692
0.361 0.669 0.692
0.639 0.331 0.308
0.978 0.669 0.308
0.216 0.216 0.000
0.313 0.500 0.813
0.687 0.500 0.187
0.784 0.784 0.000
```

Summary:
Uncorrected formation energy = -15.70 kcal/mol of atoms



DOS at the Fermi energy across the listed records, respectively: 4.1; 1.8; 2.1; 3.0; 2.3; 1.6; 3.4; 2.3 states/eV per cell.
Final energy across the listed records, respectively: -47.40; -55.57; -12.79; -27.74; -18.35; -17.73; -57.35; -23.58 eV/atom.